Model P:
VASP calculation (PBE-GGA) on a relaxed structure of RbGe2Pd.

Geometry as extended XYZ:
```
4
Lattice="3.3877 0.0000 0.0000 0.0000 3.3877 0.0000 0.0000 0.0000 7.9990" Properties=species:S:1:pos:R:3 pbc="T T T"
Rb 0.0000 0.0000 0.0000
Ge 1.6938 1.6938 2.6676
Ge 1.6938 1.6938 5.3314
Pd 0.0000 0.0000 3.9995
```

Model Q:
VASP calculation (PBE-GGA) on a relaxed structure of RbGe2Pd.

Geometry as extended XYZ:
```
16
Lattice="7.0068 0.0000 0.0000 0.0000 7.0068 0.0000 0.0000 0.0000 7.0068" Properties=species:S:1:pos:R:3 pbc="T T T"
Rb 0.0000 0.0000 0.0000
Rb 0.0000 3.5034 3.5034
Rb 3.5034 0.0000 3.5034
Rb 3.5034 3.5034 0.0000
Ge 1.7517 1.7517 1.7517
Ge 1.7517 1.7517 5.2551
Ge 1.7517 5.2551 1.7517
Ge 1.7517 5.2551 5.2551
Ge 5.2551 1.7517 1.7517
Ge 5.2551 1.7517 5.2551
Ge 5.2551 5.2551 1.7517
Ge 5.2551 5.2551 5.2551
Pd 0.0000 0.0000 3.5034
Pd 0.0000 3.5034 0.0000
Pd 3.5034 0.0000 0.0000
Pd 3.5034 3.5034 3.5034
```

Model R:
VASP calculation (PBE-GGA) on a relaxed structure of RbGe2Pd.

Geometry as extended XYZ:
```
12
Lattice="4.3119 0.0000 0.0000 -2.1560 3.7343 0.0000 0.0000 0.0000 19.7564" Properties=species:S:1:pos:R:3 pbc="T T T"
Rb 0.0000 0.0000 0.0000
Rb 0.0000 2.4895 13.1710
Rb 2.1560 1.2448 6.5855
Ge 0.0000 0.0000 4.0132
Ge 0.0000 0.0000 15.7433
Ge 0.0000 2.4895 9.1578
Ge 0.0000 2.4895 17.1841
Ge 2.1560 1.2448 2.5723
Ge 2.1560 1.2448 10.5986
Pd 0.0000 0.0000 9.8782
Pd 0.0000 2.4895 3.2927
Pd 2.1560 1.2448 16.4637
```

model R has the most favorable energy; the next structure is 115 meV/atom above.

Model P:
VASP calculation (PBE-GGA) on a relaxed structure of ReGe2Pd2.

Geometry as extended XYZ:
```
10
Lattice="7.2444 0.0000 0.0000 0.0000 7.2444 0.0000 0.0000 0.0000 2.9246" Properties=species:S:1:pos:R:3 pbc="T T T"
Re 0.0000 0.0000 0.0000
Re 3.6222 3.6222 0.0000
Ge 1.1588 2.4634 0.0000
Ge 2.4634 6.0856 0.0000
Ge 4.7810 1.1588 0.0000
Ge 6.0856 4.7810 0.0000
Pd 1.0067 4.6289 1.4623
Pd 2.6156 1.0067 1.4623
Pd 4.6289 6.2378 1.4623
Pd 6.2378 2.6156 1.4623
```

Model Q:
VASP calculation (PBE-GGA) on a relaxed structure of ReGe2Pd2.

Geometry as extended XYZ:
```
10
Lattice="3.7110 0.0000 0.0000 0.0000 3.7110 0.0000 0.0000 0.0000 12.3130" Properties=species:S:1:pos:R:3 pbc="T T T"
Re 0.0000 0.0000 0.0000
Re 1.8555 1.8555 6.1565
Ge 0.0000 1.8555 3.0783
Ge 0.0000 1.8555 9.2348
Ge 1.8555 0.0000 3.0783
Ge 1.8555 0.0000 9.2348
Pd 0.0000 0.0000 4.8555
Pd 0.0000 0.0000 7.4576
Pd 1.8555 1.8555 1.3011
Pd 1.8555 1.8555 11.0120
```

model P has the most favorable energy; the next structure is 480 meV/atom above.

Model P:
VASP calculation (PBE-GGA) on a relaxed structure of Re2GePd2.

Geometry as extended XYZ:
```
10
Lattice="6.3498 0.0000 0.0000 0.0000 6.3498 0.0000 0.0000 0.0000 4.1144" Properties=species:S:1:pos:R:3 pbc="T T T"
Re 0.8496 2.3252 0.0000
Re 2.3252 5.5001 0.0000
Re 4.0245 0.8496 0.0000
Re 5.5001 4.0245 0.0000
Ge 0.0000 0.0000 0.0000
Ge 3.1749 3.1749 0.0000
Pd 0.9882 4.1631 2.0572
Pd 2.1867 0.9882 2.0572
Pd 4.1631 5.3616 2.0572
Pd 5.3616 2.1867 2.0572
```

Model Q:
VASP calculation (PBE-GGA) on a relaxed structure of Re2GePd2.

Geometry as extended XYZ:
```
10
Lattice="3.5578 0.0000 0.0000 0.0000 3.5578 0.0000 0.0000 0.0000 13.0570" Properties=species:S:1:pos:R:3 pbc="T T T"
Re 0.0000 0.0000 1.2340
Re 0.0000 0.0000 11.8229
Re 1.7789 1.7789 5.2945
Re 1.7789 1.7789 7.7625
Ge 0.0000 0.0000 6.5285
Ge 1.7789 1.7789 0.0000
Pd 0.0000 1.7789 3.2642
Pd 0.0000 1.7789 9.7927
Pd 1.7789 0.0000 3.2642
Pd 1.7789 0.0000 9.7927
```

model P has the most favorable energy; the next structure is 305 meV/atom above.

Model P:
VASP calculation (PBE-GGA) on a relaxed structure of ReGePd2.

Geometry as extended XYZ:
```
16
Lattice="3.7566 0.0000 0.0000 0.0000 3.7566 0.0000 0.0000 0.0000 18.6091" Properties=species:S:1:pos:R:3 pbc="T T T"
Re 0.0000 0.0000 0.0000
Re 0.0000 1.8783 4.6523
Re 1.8783 0.0000 13.9568
Re 1.8783 1.8783 9.3045
Ge 0.0000 0.0000 9.3045
Ge 0.0000 1.8783 13.9568
Ge 1.8783 0.0000 4.6523
Ge 1.8783 1.8783 0.0000
Pd 0.9350 0.9392 11.6307
Pd 0.9392 2.8133 16.2830
Pd 0.9392 2.8216 6.9784
Pd 0.9433 0.9392 2.3261
Pd 2.8133 2.8175 2.3261
Pd 2.8175 0.9350 6.9784
Pd 2.8175 0.9433 16.2830
Pd 2.8216 2.8175 11.6307
```

Model Q:
VASP calculation (PBE-GGA) on a relaxed structure of ReGePd2.

Geometry as extended XYZ:
```
16
Lattice="6.3036 0.0000 0.0000 0.0000 6.3036 0.0000 0.0000 0.0000 6.3036" Properties=species:S:1:pos:R:3 pbc="T T T"
Re 0.0000 0.0000 0.0000
Re 0.0000 3.1518 3.1518
Re 3.1518 0.0000 3.1518
Re 3.1518 3.1518 0.0000
Ge 0.0000 0.0000 3.1518
Ge 0.0000 3.1518 0.0000
Ge 3.1518 0.0000 0.0000
Ge 3.1518 3.1518 3.1518
Pd 1.5759 1.5759 1.5759
Pd 1.5759 1.5759 4.7277
Pd 1.5759 4.7277 1.5759
Pd 1.5759 4.7277 4.7277
Pd 4.7277 1.5759 1.5759
Pd 4.7277 1.5759 4.7277
Pd 4.7277 4.7277 1.5759
Pd 4.7277 4.7277 4.7277
```

model Q has the most favorable energy; the next structure is 40 meV/atom above.

Model P:
VASP calculation (PBE-GGA) on a relaxed structure of ReGePd3.

Geometry as extended XYZ:
```
5
Lattice="4.5913 0.0000 0.0000 0.0000 4.5913 0.0000 0.0000 0.0000 4.5913" Properties=species:S:1:pos:R:3 pbc="T T T"
Re 0.0000 0.0000 0.0000
Ge 2.2956 2.2956 2.2956
Pd 0.0000 2.2956 2.2956
Pd 2.2956 0.0000 2.2956
Pd 2.2956 2.2956 0.0000
```

Model Q:
VASP calculation (PBE-GGA) on a relaxed structure of ReGePd3.

Geometry as extended XYZ:
```
5
Lattice="4.8192 0.0000 0.0000 0.0000 4.8192 0.0000 0.0000 0.0000 4.8192" Properties=species:S:1:pos:R:3 pbc="T T T"
Re 0.0000 0.0000 0.0000
Ge 2.4096 2.4096 2.4096
Pd 0.0000 0.0000 2.4096
Pd 0.0000 2.4096 0.0000
Pd 2.4096 0.0000 0.0000
```

model P has the most favorable energy; the next structure is 234 meV/atom above.

Model P:
VASP calculation (PBE-GGA) on a relaxed structure of Ge2PdRh3.

Geometry as extended XYZ:
```
12
Lattice="-2.9424 5.7269 2.9242 2.9424 -5.7269 2.9242 2.9424 5.7269 -2.9242" Properties=species:S:1:pos:R:3 pbc="T T T"
Ge 1.1487 1.6177 0.0000
Ge 1.1487 -1.6177 2.9242
Ge 1.7936 7.3446 0.0000
Ge 1.7936 4.1092 2.9242
Pd 2.9424 0.0000 0.0000
Pd 0.0000 5.7269 0.0000
Rh 2.9424 -2.5822 1.4621
Rh 0.0000 0.0000 1.4621
Rh 2.9424 2.5822 1.4621
Rh 0.0000 3.1446 1.4621
Rh 0.0000 0.0000 4.3863
Rh 0.0000 8.3091 1.4621
```

Model Q:
VASP calculation (PBE-GGA) on a relaxed structure of Ge2PdRh3.

Geometry as extended XYZ:
```
12
Lattice="4.0789 0.0000 0.0000 0.0000 7.6174 0.0000 0.0000 0.0000 5.6296" Properties=species:S:1:pos:R:3 pbc="T T T"
Ge 0.0000 1.0715 0.0000
Ge 0.0000 6.5460 2.8148
Ge 2.0394 2.6640 3.1025
Ge 2.0394 4.9534 0.2877
Pd 0.0000 3.4301 4.5335
Pd 0.0000 4.1873 1.7187
Rh 0.0000 1.3706 2.4595
Rh 0.0000 6.2468 5.2743
Rh 2.0394 0.3705 4.2031
Rh 2.0394 2.4577 0.6282
Rh 2.0394 5.1597 3.4430
Rh 2.0394 7.2470 1.3883
```

model Q has the most favorable energy; the next structure is 153 meV/atom above.

Model P:
VASP calculation (PBE-GGA) on a relaxed structure of Ge2PdRh2.

Geometry as extended XYZ:
```
10
Lattice="7.1601 0.0000 0.0000 0.0000 7.1601 0.0000 0.0000 0.0000 2.9004" Properties=species:S:1:pos:R:3 pbc="T T T"
Ge 1.1105 2.4696 0.0000
Ge 2.4696 6.0496 0.0000
Ge 4.6905 1.1105 0.0000
Ge 6.0496 4.6905 0.0000
Pd 0.0000 0.0000 0.0000
Pd 3.5801 3.5801 0.0000
Rh 1.0210 4.6010 1.4502
Rh 2.5591 1.0210 1.4502
Rh 4.6010 6.1391 1.4502
Rh 6.1391 2.5591 1.4502
```

Model Q:
VASP calculation (PBE-GGA) on a relaxed structure of Ge2PdRh2.

Geometry as extended XYZ:
```
10
Lattice="4.0447 0.0000 0.0000 0.0000 4.0447 0.0000 0.0000 0.0000 10.0514" Properties=species:S:1:pos:R:3 pbc="T T T"
Ge 0.0000 0.0000 1.1905
Ge 0.0000 0.0000 8.8609
Ge 2.0224 2.0224 3.8352
Ge 2.0224 2.0224 6.2161
Pd 0.0000 0.0000 5.0257
Pd 2.0224 2.0224 0.0000
Rh 0.0000 2.0224 2.5128
Rh 0.0000 2.0224 7.5385
Rh 2.0224 0.0000 2.5128
Rh 2.0224 0.0000 7.5385
```

model P has the most favorable energy; the next structure is 140 meV/atom above.

Model P:
VASP calculation (PBE-GGA) on a relaxed structure of GePdRu.

Geometry as extended XYZ:
```
12
Lattice="5.8028 0.0000 0.0000 0.0000 5.8028 0.0000 0.0000 0.0000 5.8028" Properties=species:S:1:pos:R:3 pbc="T T T"
Ge 0.0000 0.0000 0.0000
Ge 0.0000 2.9014 2.9014
Ge 2.9014 0.0000 2.9014
Ge 2.9014 2.9014 0.0000
Pd 1.4507 1.4507 4.3521
Pd 1.4507 4.3521 1.4507
Pd 4.3521 1.4507 1.4507
Pd 4.3521 4.3521 4.3521
Ru 1.4507 1.4507 1.4507
Ru 1.4507 4.3521 4.3521
Ru 4.3521 1.4507 4.3521
Ru 4.3521 4.3521 1.4507
```

Model Q:
VASP calculation (PBE-GGA) on a relaxed structure of GePdRu.

Geometry as extended XYZ:
```
12
Lattice="2.9649 0.0000 0.0000 0.0000 2.9649 0.0000 0.0000 0.0000 20.9704" Properties=species:S:1:pos:R:3 pbc="T T T"
Ge 0.0000 0.0000 2.8488
Ge 0.0000 0.0000 18.1215
Ge 1.4824 1.4824 7.6363
Ge 1.4824 1.4824 13.3340
Pd 0.0000 0.0000 9.1575
Pd 0.0000 0.0000 11.8129
Pd 1.4824 1.4824 1.3277
Pd 1.4824 1.4824 19.6427
Ru 0.0000 0.0000 6.1764
Ru 0.0000 0.0000 14.7940
Ru 1.4824 1.4824 4.3088
Ru 1.4824 1.4824 16.6616
```

model P has the most favorable energy; the next structure is 29 meV/atom above.